Record 1
{"formula": "Sc2Hg3Pd4", "functional": "GGA-PBE", "state": "relaxed", "n_ef_per_ev_cell": 3.9, "total_magnetization_mub_per_cell": 0.00, "e_form_kj_per_mol_fu": -492.3, "lattice": [[-0.930, -4.027, -0.696], [3.896, -3.077, -0.024], [1.176, -1.768, 8.648]], "species": ["Pd", "Pd", "Pd", "Pd", "Hg", "Hg", "Hg", "Sc", "Sc"], "frac_coords": [[0.994, 0.013, 0.677], [0.666, 0.668, 0.892], [0.334, 0.332, 0.108], [0.006, 0.987, 0.323], [0.337, 0.326, 0.436], [0.000, 0.000, 0.000], [0.663, 0.674, 0.564], [0.328, 0.344, 0.785], [0.672, 0.656, 0.215]]}

=====

Record 2
{"formula": "ScHgPd", "functional": "GGA-PBE", "state": "relaxed", "n_ef_per_ev_cell": 1.3, "total_magnetization_mub_per_cell": 0.00, "e_form_kj_per_mol_fu": -195.9, "lattice": [[-0.385, 3.508, 0.323], [-3.512, -0.407, 0.241], [2.300, -1.925, 4.200]], "species": ["Hg", "Pd", "Sc"], "frac_coords": [[0.950, 0.950, 0.901], [0.625, 0.625, 0.251], [0.274, 0.274, 0.548]]}

=====

Record 3
{"formula": "Sc2HgPd3", "functional": "GGA-PBE", "state": "relaxed", "n_ef_per_ev_cell": 8.1, "total_magnetization_mub_per_cell": 0.00, "e_above_lowest_polymorph_ev_per_atom": 0.000, "e_form_kj_per_mol_fu": -429.3, "lattice": [[-3.696, -0.502, 2.798], [3.930, -2.348, 0.885], [3.725, 8.677, 6.480]], "species": ["Pd", "Pd", "Pd", "Pd", "Pd", "Pd", "Hg", "Hg", "Sc", "Sc", "Sc", "Sc"], "frac_coords": [[0.000, 0.000, 0.240], [0.667, 0.333, 0.072], [0.333, 0.667, 0.928], [0.333, 0.667, 0.424], [0.000, 0.000, 0.760], [0.667, 0.333, 0.576], [0.333, 0.667, 0.671], [0.667, 0.333, 0.329], [0.000, 0.000, 0.000], [0.333, 0.667, 0.178], [0.000, 0.000, 0.500], [0.667, 0.333, 0.822]]}

=====

Record 4
{"formula": "ScHgPd4", "functional": "GGA-PBE", "state": "relaxed", "n_ef_per_ev_cell": 4.6, "total_magnetization_mub_per_cell": 0.00, "e_form_kj_per_mol_fu": -295.2, "lattice": [[4.876, 0.000, 0.538], [0.000, 8.742, 0.000], [0.819, 0.000, 4.845]], "species": ["Hg", "Hg", "Pd", "Pd", "Pd", "Pd", "Pd", "Pd", "Pd", "Pd", "Sc", "Sc"], "frac_coords": [[0.000, 0.000, 0.000], [0.500, 0.500, 0.000], [0.500, 0.334, 0.500], [0.000, 0.666, 0.000], [0.500, 0.666, 0.500], [0.000, 0.834, 0.500], [0.500, 0.166, 0.000], [0.000, 0.166, 0.500], [0.500, 0.834, 0.000], [0.000, 0.334, 0.000], [0.000, 0.500, 0.500], [0.500, 0.000, 0.500]]}

=====

Record 5
{"formula": "Sc6HgPd2", "functional": "GGA-PBE", "state": "relaxed", "n_ef_per_ev_cell": 21.7, "total_magnetization_mub_per_cell": 0.00, "e_form_kj_per_mol_fu": -440.0, "lattice": [[-3.495, 4.618, -5.488], [-4.830, -5.811, 2.561], [1.870, 4.220, 6.508]], "species": ["Sc", "Sc", "Sc", "Sc", "Sc", "Sc", "Sc", "Sc", "Sc", "Sc", "Sc", "Sc", "Pd", "Pd", "Pd", "Pd", "Hg", "Hg"], "frac_coords": [[0.289, 0.961, 0.672], [0.201, 0.760, 0.961], [0.799, 0.240, 0.039], [0.102, 0.289, 0.813], [0.898, 0.711, 0.187], [0.799, 0.760, 0.559], [0.524, 0.711, 0.813], [0.289, 0.618, 0.328], [0.711, 0.039, 0.328], [0.201, 0.240, 0.441], [0.711, 0.382, 0.672], [0.476, 0.289, 0.187], [0.345, 0.000, 0.345], [0.500, 0.360, 0.860], [0.655, 0.000, 0.655], [0.500, 0.640, 0.140], [0.000, 0.500, 0.500], [0.000, 0.000, 0.000]]}

=====

Record 6
{"formula": "Sc2HgPd9", "functional": "GGA-PBE", "state": "relaxed", "n_ef_per_ev_cell": 12.4, "total_magnetization_mub_per_cell": 0.00, "e_form_kj_per_mol_fu": -701.8, "lattice": [[4.003, 0.000, 0.000], [0.000, 4.003, 0.000], [0.000, 0.000, 12.214]], "species": ["Pd", "Pd", "Pd", "Pd", "Pd", "Pd", "Pd", "Pd", "Pd", "Sc", "Sc", "Hg"], "frac_coords": [[0.000, 0.500, 0.173], [0.500, 0.000, 0.827], [0.500, 0.500, 0.337], [0.500, 0.000, 0.173], [0.000, 0.500, 0.500], [0.000, 0.500, 0.827], [0.500, 0.000, 0.500], [0.500, 0.500, 0.000], [0.500, 0.500, 0.663], [0.000, 0.000, 0.667], [0.000, 0.000, 0.333], [0.000, 0.000, 0.000]]}

=====

Record 7
{"formula": "Sc2Hg2Pd", "functional": "GGA-PBE", "state": "relaxed", "n_ef_per_ev_cell": 9.9, "total_magnetization_mub_per_cell": 0.00, "e_above_lowest_polymorph_ev_per_atom": 0.257, "e_form_kj_per_mol_fu": -106.7, "lattice": [[7.199, 0.000, 0.000], [0.000, 7.199, 0.000], [0.000, 0.000, 4.322]], "species": ["Hg", "Hg", "Hg", "Hg", "Pd", "Pd", "Sc", "Sc", "Sc", "Sc"], "frac_coords": [[0.352, 0.148, 0.500], [0.852, 0.352, 0.500], [0.648, 0.852, 0.500], [0.148, 0.648, 0.500], [0.500, 0.500, 0.000], [0.000, 0.000, 0.000], [0.660, 0.160, 0.000], [0.340, 0.840, 0.000], [0.160, 0.340, 0.000], [0.840, 0.660, 0.000]]}

=====

Record 8
{"formula": "ScHg3Pd6", "functional": "GGA-PBE", "state": "relaxed", "n_ef_per_ev_cell": 5.4, "total_magnetization_mub_per_cell": 0.00, "e_form_kj_per_mol_fu": -293.5, "lattice": [[4.179, 0.000, 0.000], [0.000, 10.718, -1.835], [0.000, -5.813, 9.196]], "species": ["Sc", "Sc", "Pd", "Pd", "Pd", "Pd", "Pd", "Pd", "Pd", "Pd", "Pd", "Pd", "Pd", "Pd", "Hg", "Hg", "Hg", "Hg", "Hg", "Hg"], "frac_coords": [[0.750, 0.074, 0.735], [0.250, 0.926, 0.265], [0.750, 0.943, 0.874], [0.250, 0.241, 0.743], [0.250, 0.896, 0.499], [0.750, 0.523, 0.592], [0.250, 0.175, 0.953], [0.250, 0.057, 0.126], [0.250, 0.477, 0.408], [0.750, 0.825, 0.047], [0.750, 0.390, 0.994], [0.750, 0.759, 0.257], [0.750, 0.104, 0.501], [0.250, 0.610, 0.006], [0.250, 0.547, 0.213], [0.250, 0.729, 0.805], [0.750, 0.271, 0.195], [0.750, 0.453, 0.787], [0.750, 0.710, 0.503], [0.250, 0.290, 0.497]]}

=====

Record 9
{"formula": "ScHgPd", "functional": "GGA-PBE", "state": "relaxed", "n_ef_per_ev_cell": 2.2, "total_magnetization_mub_per_cell": 0.00, "e_form_kj_per_mol_fu": -130.7, "lattice": [[-2.338, -1.067, 3.759], [2.136, -0.260, 4.013], [-0.752, 3.163, 3.188]], "species": ["Sc", "Pd", "Hg"], "frac_coords": [[0.000, 0.000, 0.000], [0.250, 0.250, 0.250], [0.500, 0.500, 0.500]]}

=====

Record 10
{"formula": "SmScHgPd", "functional": "GGA-PBE", "state": "relaxed", "n_ef_per_ev_cell": 3.4, "total_magnetization_mub_per_cell": 0.00, "e_form_kj_per_mol_fu": -219.2, "lattice": [[-3.797, 0.090, 3.317], [-0.957, -4.051, 2.848], [0.975, 0.108, 4.946]], "species": ["Sc", "Pd", "Hg", "Sm"], "frac_coords": [[0.000, 0.000, 0.000], [0.750, 0.750, 0.750], [0.250, 0.250, 0.250], [0.500, 0.500, 0.500]]}

=====

Record 11
{"formula": "ScSnHgPd", "functional": "GGA-PBE", "state": "relaxed", "n_ef_per_ev_cell": 2.1, "total_magnetization_mub_per_cell": 0.00, "e_form_kj_per_mol_fu": -177.9, "lattice": [[-3.914, 2.295, 1.735], [-0.916, -0.029, 4.770], [0.525, 4.070, 2.598]], "species": ["Pd", "Sc", "Hg", "Sn"], "frac_coords": [[0.500, 0.500, 0.500], [0.750, 0.750, 0.750], [0.000, 0.000, 0.000], [0.250, 0.250, 0.250]]}

=====

Record 12
{"formula": "ScTcHg2Pd", "functional": "GGA-PBE", "state": "relaxed", "n_ef_per_ev_cell": 6.0, "total_magnetization_mub_per_cell": 0.00, "e_form_kj_per_mol_fu": 368.5, "lattice": [[5.162, 0.000, 0.000], [0.000, 4.742, 0.000], [0.000, 0.000, 5.162]], "species": ["Hg", "Hg", "Sc", "Pd", "Tc"], "frac_coords": [[0.000, 0.000, 0.500], [0.500, 0.000, 0.000], [0.500, 0.500, 0.500], [0.000, 0.500, 0.000], [0.000, 0.000, 0.000]]}

=====

Record 13
{"formula": "Sc4Tl2HgPd", "functional": "GGA-PBE", "state": "relaxed", "n_ef_per_ev_cell": 5.4, "total_magnetization_mub_per_cell": 0.00, "e_form_kj_per_mol_fu": -341.9, "lattice": [[-1.100, 2.189, 4.326], [-4.020, -1.425, 2.556], [2.729, -5.244, 6.204]], "species": ["Tl", "Tl", "Hg", "Pd", "Sc", "Sc", "Sc", "Sc"], "frac_coords": [[0.749, 0.749, 0.753], [0.251, 0.251, 0.247], [0.000, 0.000, 0.000], [0.500, 0.500, 0.500], [0.128, 0.128, 0.616], [0.620, 0.620, 0.139], [0.380, 0.380, 0.861], [0.872, 0.872, 0.384]]}

=====

Record 14
{"formula": "YScHgPd", "functional": "GGA-PBE", "state": "relaxed", "n_ef_per_ev_cell": 2.7, "total_magnetization_mub_per_cell": 0.00, "e_form_kj_per_mol_fu": -258.3, "lattice": [[3.421, 0.000, 0.000], [0.000, 3.421, 0.000], [0.000, 0.000, 7.439]], "species": ["Sc", "Hg", "Pd", "Y"], "frac_coords": [[0.500, 0.500, 0.133], [0.000, 0.000, 0.882], [0.000, 0.000, 0.327], [0.500, 0.500, 0.587]]}

=====

Record 15
{"formula": "Sc2ZnHgPd4", "functional": "GGA-PBE", "state": "relaxed", "n_ef_per_ev_cell": 5.8, "total_magnetization_mub_per_cell": 0.00, "e_form_kj_per_mol_fu": -549.5, "lattice": [[4.571, 0.000, 0.000], [2.286, 3.959, 0.000], [2.286, 1.320, 7.525]], "species": ["Pd", "Pd", "Pd", "Pd", "Sc", "Sc", "Zn", "Hg"], "frac_coords": [[0.618, 0.618, 0.146], [0.870, 0.870, 0.389], [0.130, 0.130, 0.611], [0.382, 0.382, 0.854], [0.251, 0.251, 0.248], [0.749, 0.749, 0.752], [0.500, 0.500, 0.500], [0.000, 0.000, 0.000]]}

=====

Record 16
{"formula": "ZrScHg2Pd", "functional": "GGA-PBE", "state": "relaxed", "n_ef_per_ev_cell": 7.0, "total_magnetization_mub_per_cell": 0.00, "e_form_kj_per_mol_fu": 265.8, "lattice": [[-4.054, 1.763, -3.109], [0.258, -4.055, -2.636], [-3.563, -2.372, 3.300]], "species": ["Sc", "Zr", "Hg", "Hg", "Pd"], "frac_coords": [[0.500, 0.500, 0.500], [0.000, 0.000, 0.000], [0.500, 0.000, 0.000], [0.000, 0.000, 0.500], [0.000, 0.500, 0.000]]}

=====

Record 17
{"formula": "Hg3Pd8Se9", "functional": "GGA-PBE", "state": "relaxed", "n_ef_per_ev_cell": 14.2, "formation_energy_uncorrected_ev_per_atom": -0.313, "total_magnetization_mub_per_cell": 0.00, "lattice": [[6.555, 0.000, 0.000], [0.000, 7.389, 0.000], [0.000, 0.000, 17.069]], "species": ["Hg", "Hg", "Hg", "Hg", "Hg", "Hg", "Se", "Se", "Se", "Se", "Se", "Se", "Se", "Se", "Se", "Se", "Se", "Se", "Se", "Se", "Se", "Se", "Se", "Se", "Pd", "Pd", "Pd", "Pd", "Pd", "Pd", "Pd", "Pd", "Pd", "Pd", "Pd", "Pd", "Pd", "Pd", "Pd", "Pd"], "frac_coords": [[0.123, 0.500, 0.294], [0.286, 0.500, 0.000], [0.123, 0.500, 0.706], [0.877, 0.000, 0.794], [0.877, 0.000, 0.206], [0.714, 0.000, 0.500], [0.104, 0.000, 0.666], [0.104, 0.000, 0.334], [0.383, 0.767, 0.840], [0.805, 0.500, 0.500], [0.383, 0.767, 0.160], [0.896, 0.500, 0.166], [0.729, 0.255, 0.000], [0.617, 0.733, 0.340], [0.617, 0.267, 0.660], [0.383, 0.233, 0.840], [0.271, 0.245, 0.500], [0.271, 0.755, 0.500], [0.729, 0.745, 0.000], [0.896, 0.500, 0.834], [0.195, 0.000, 0.000], [0.383, 0.233, 0.160], [0.617, 0.733, 0.660], [0.617, 0.267, 0.340], [0.962, 0.262, 0.411], [0.400, 0.500, 0.585], [0.534, 0.500, 0.235], [0.600, 0.000, 0.085], [0.400, 0.500, 0.415], [0.534, 0.500, 0.765], [0.038, 0.238, 0.911], [0.962, 0.262, 0.589], [0.038, 0.762, 0.089], [0.962, 0.738, 0.411], [0.600, 0.000, 0.915], [0.038, 0.238, 0.089], [0.466, 0.000, 0.265], [0.466, 0.000, 0.735], [0.038, 0.762, 0.911], [0.962, 0.738, 0.589]]}

=====

Record 18
{"formula": "Hg3Pd3Se8", "functional": "GGA-PBE", "state": "relaxed", "n_ef_per_ev_cell": 6.7, "formation_energy_uncorrected_ev_per_atom": -0.168, "total_magnetization_mub_per_cell": 0.00, "lattice": [[6.866, 0.015, 3.967], [2.297, 6.471, 3.967], [0.021, 0.015, 7.930]], "species": ["Se", "Se", "Se", "Se", "Se", "Se", "Se", "Se", "Pd", "Pd", "Pd", "Hg", "Hg", "Hg"], "frac_coords": [[0.752, 0.201, 0.752], [0.248, 0.799, 0.248], [0.799, 0.248, 0.248], [0.248, 0.248, 0.799], [0.233, 0.233, 0.233], [0.201, 0.752, 0.752], [0.767, 0.767, 0.767], [0.752, 0.752, 0.201], [0.500, 0.000, 0.000], [0.000, 0.500, 0.000], [0.000, 0.000, 0.500], [0.622, 0.622, 0.622], [0.378, 0.378, 0.378], [0.000, 0.000, 0.000]]}

=====

Record 19
{"formula": "HgPd5Se8", "functional": "GGA-PBE", "state": "relaxed", "n_ef_per_ev_cell": 6.4, "formation_energy_uncorrected_ev_per_atom": -0.227, "total_magnetization_mub_per_cell": 0.00, "lattice": [[-3.825, -0.953, 0.031], [-0.359, 1.187, -7.890], [4.237, -8.842, 0.266]], "species": ["Se", "Se", "Se", "Se", "Se", "Se", "Se", "Se", "Pd", "Pd", "Pd", "Pd", "Pd", "Hg"], "frac_coords": [[0.221, 0.132, 0.442], [0.437, 0.844, 0.874], [0.779, 0.868, 0.558], [0.179, 0.527, 0.358], [0.563, 0.156, 0.126], [0.821, 0.473, 0.642], [0.100, 0.746, 0.200], [0.900, 0.254, 0.800], [0.693, 0.321, 0.385], [0.000, 0.000, 0.000], [0.346, 0.057, 0.692], [0.654, 0.943, 0.308], [0.307, 0.679, 0.615], [0.500, 0.500, 0.000]]}

=====

Record 20
{"formula": "HgPd8Se2", "functional": "GGA-PBE", "state": "relaxed", "n_ef_per_ev_cell": 6.3, "formation_energy_uncorrected_ev_per_atom": -0.147, "total_magnetization_mub_per_cell": 0.00, "lattice": [[-2.795, 2.933, 2.799], [-1.192, -5.283, 2.461], [6.873, 1.964, 1.426]], "species": ["Pd", "Pd", "Pd", "Pd", "Pd", "Pd", "Pd", "Pd", "Se", "Se", "Hg"], "frac_coords": [[0.768, 0.270, 0.910], [0.498, 0.756, 0.674], [0.891, 0.459, 0.512], [0.300, 0.487, 0.909], [0.288, 0.855, 0.306], [0.933, 0.011, 0.559], [0.283, 0.359, 0.259], [0.733, 0.991, 0.144], [0.752, 0.611, 0.228], [0.435, 0.291, 0.590], [0.121, 0.909, 0.909]]}